Computed, not measured: crystalline MnIO at its relaxed geometry at the PBE+U level of DFT.

The space group is Pmmn (No. 59, origin choice 2) and the conventional cell measures 3.487, 3.985 and 10.281 Å, with angles of 90.00, 90.00 and 90.00 degrees. The inequivalent atoms are Mn at (0.250, 0.250, 0.078), I at (0.250, 0.750, 0.691) and O at (0.250, 0.750, 0.038).

Its total energy is -5.671 eV per atom.